The following is a PBE calculation of a relaxed Nd6HoEr4 crystal, from Alexandria via LeMat-Bulk.

POSCAR file:
```
Nd6HoEr4
1.0
6.7439 0.0000 0.0000
0.0000 6.7439 0.0000
-3.3720 -3.3720 8.3464
Er Nd Ho
4 6 1
Direct
0.2961 0.2961 0.2379
0.0582 0.7039 0.7621
0.7039 0.0582 0.7621
0.9418 0.9418 0.2379
0.8682 0.4863 0.3545
0.5137 0.5137 0.6455
0.0000 0.5000 0.0000
0.5000 0.0000 0.0000
0.4863 0.8682 0.3545
0.1318 0.1318 0.6455
0.5000 0.5000 0.0000
```

Computed properties:
- DFT formation energy: 0.303 eV/atom
- Density of states at the Fermi level: 16.4 states/eV/cell

The following is a PBE calculation of a relaxed AlPt2Rh8 crystal, from Alexandria via LeMat-Bulk.

POSCAR file:
```
AlPt2Rh8
1.0
-3.6487 0.4063 1.2185
0.4155 -5.2899 3.0079
3.8813 4.6451 3.9337
Rh Pt Al
8 2 1
Direct
0.8658 0.8211 0.7316
0.4112 0.5502 0.8224
0.3209 0.0883 0.6419
0.6791 0.9117 0.3581
0.0436 0.7293 0.0871
0.1342 0.1789 0.2684
0.9564 0.2707 0.9129
0.5888 0.4498 0.1776
0.2252 0.6390 0.4505
0.7748 0.3610 0.5495
0.5000 0.0000 0.0000
```

Computed properties:
- DFT formation energy: -0.195 eV/atom
- Density of states at the Fermi level: 14.9 states/eV/cell

The following is a PBE calculation of a relaxed Ba5CdIr crystal, from Alexandria via LeMat-Bulk.

POSCAR file:
```
Ba5CdIr
1.0
0.4081 4.9566 -6.5407
0.9851 -7.6857 -2.7341
-11.0223 -0.0830 1.3950
Ba Cd Ir
10 2 2
Direct
0.0649 0.6755 0.8786
0.9351 0.3245 0.1214
0.3245 0.9351 0.6214
0.8975 0.1025 0.7500
0.3778 0.2360 0.0236
0.7640 0.6222 0.4764
0.6222 0.7640 0.9764
0.6755 0.0649 0.3786
0.1025 0.8975 0.2500
0.2360 0.3778 0.5236
0.3822 0.6178 0.2500
0.6178 0.3822 0.7500
0.0000 0.0000 0.5000
0.0000 0.0000 0.0000
```

Computed properties:
- DFT formation energy: -0.151 eV/atom
- Density of states at the Fermi level: 13.0 states/eV/cell